HgGe3Os at its PBEsol-relaxed geometry, computed with SCAN.

Summary:
- Energy relative to the elements: 0.34 eV per atom
- Symmetry: Pm-3m (221)

Unit cell a=4.7791 b=4.7791 c=4.7791 alpha=90.00 beta=90.00 gamma=90.00
Fractional coordinates of all 5 atoms:
Hg (0.0000, 0.0000, 0.0000)
Ge (0.0000, 0.5000, 0.5000)
Ge (0.5000, 0.0000, 0.5000)
Ge (0.5000, 0.5000, 0.0000)
Os (0.5000, 0.5000, 0.5000)



Te2AsRu at its PBEsol-relaxed geometry, computed with SCAN.

Summary:
- Symmetry: R-3m (166)
- E_form (uncorrected): 739 meV/atom

Unit cell a=11.4850 b=11.4850 c=11.4850 alpha=15.07 beta=15.07 gamma=15.07
Fractional coordinates of all 4 atoms:
Te (0.0742, 0.0742, 0.0742)
Te (0.9258, 0.9258, 0.9258)
As (0.5000, 0.5000, 0.5000)
Ru (0.0000, 0.0000, 0.0000)



TaSe2NF at its PBEsol-relaxed geometry, computed with SCAN.

Summary:
- Symmetry: P4/mmm (123)
- E_form (uncorrected): 1256 meV/atom

Unit cell a=4.4802 b=4.4802 c=3.6201 alpha=90.00 beta=90.00 gamma=90.00
Fractional coordinates of all 5 atoms:
Ta (0.0000, 0.0000, 0.0000)
Se (0.0000, 0.5000, 0.5000)
Se (0.5000, 0.0000, 0.5000)
N (0.5000, 0.5000, 0.0000)
F (0.5000, 0.5000, 0.5000)



CsTi8O16 at its PBEsol-relaxed geometry, computed with SCAN.

Summary:
- Symmetry: I4_1/a (88)
- E_form (uncorrected): -3253 meV/atom

Unit cell a=10.6518 b=10.6518 c=10.6518 alpha=94.40 beta=94.40 gamma=147.83
Fractional coordinates of all 50 atoms:
Cs (0.3750, 0.1250, 0.2500)
Cs (0.6250, 0.8750, 0.7500)
Ti (0.0356, 0.6157, 0.9004)
Ti (0.1157, 0.7152, 0.5800)
Ti (0.1287, 0.0322, 0.9116)
Ti (0.2152, 0.1352, 0.5996)
Ti (0.2829, 0.3713, 0.4035)
Ti (0.3648, 0.4644, 0.0800)
Ti (0.3793, 0.7829, 0.4116)
Ti (0.4678, 0.8793, 0.0965)
Ti (0.5322, 0.1207, 0.9035)
Ti (0.6207, 0.2171, 0.5884)
Ti (0.6352, 0.5356, 0.9200)
Ti (0.7171, 0.6287, 0.5965)
Ti (0.7848, 0.8648, 0.4004)
Ti (0.8713, 0.9678, 0.0884)
Ti (0.8843, 0.2848, 0.4200)
Ti (0.9644, 0.3843, 0.0996)
O (0.0247, 0.8132, 0.5851)
O (0.0561, 0.1489, 0.9579)
O (0.0603, 0.4753, 0.2885)
O (0.0997, 0.0589, 0.4072)
O (0.1517, 0.6925, 0.0928)
O (0.1915, 0.2742, 0.2123)
O (0.1925, 0.5997, 0.5408)
O (0.2258, 0.9381, 0.9173)
O (0.2718, 0.5603, 0.0851)
O (0.3091, 0.9018, 0.4579)
O (0.3132, 0.2282, 0.7885)
O (0.3511, 0.8091, 0.9073)
O (0.4018, 0.4439, 0.5927)
O (0.4381, 0.0208, 0.7123)
O (0.4411, 0.3483, 0.0408)
O (0.4792, 0.6915, 0.4173)
O (0.5208, 0.3085, 0.5827)
O (0.5589, 0.6517, 0.9592)
O (0.5619, 0.9792, 0.2877)
O (0.5982, 0.5561, 0.4073)
O (0.6489, 0.1909, 0.0927)
O (0.6868, 0.7718, 0.2115)
O (0.6909, 0.0982, 0.5421)
O (0.7282, 0.4397, 0.9149)
O (0.7742, 0.0619, 0.0827)
O (0.8075, 0.4003, 0.4592)
O (0.8085, 0.7258, 0.7877)
O (0.8483, 0.3075, 0.9072)
O (0.9003, 0.9411, 0.5928)
O (0.9397, 0.5247, 0.7115)
O (0.9439, 0.8511, 0.0421)
O (0.9753, 0.1868, 0.4149)